1.
Compound: HoTm2Ga3CuNi2
Source: OQMD via LeMat-Bulk
Functional: PBE
Structure: relaxed Values from VASP.

ρ: 9.3 Mg/m³
Energy: -4.77 eV per atom
Symmetry: No. 38

Geometry as Quantum ESPRESSO input:
```
&SYSTEM
  ibrav = 0, nat = 9, ntyp = 5
/
ATOMIC_SPECIES
Ho 164.93 Ho.upf
Tm 168.93 Tm.upf
Ga 69.72 Ga.upf
Cu 63.55 Cu.upf
Ni 58.69 Ni.upf
ATOMIC_POSITIONS angstrom
Ho 0.000 0.000 0.000
Tm 0.000 -2.521 4.366
Tm 0.000 2.521 4.366
Ga 1.843 -1.580 2.009
Ga 1.843 1.580 2.009
Ga 1.843 0.000 4.721
Cu 0.000 0.000 2.919
Ni 1.843 -4.074 2.911
Ni 1.843 4.074 2.911
CELL_PARAMETERS angstrom
3.686 0.000 0.000
0.000 6.126 3.534
0.000 -6.126 3.534
```



2.
Compound: Sc2Cu3Ag
Source: OQMD via LeMat-Bulk
Functional: PBE
Structure: relaxed Values from VASP.

ρ: 6.7 Mg/m³
Symmetry: No. 99
Calculated formation energy: -0.25 eV per atom

Geometry as Quantum ESPRESSO input:
```
&SYSTEM
  ibrav = 0, nat = 6, ntyp = 3
/
ATOMIC_SPECIES
Sc 44.96 Sc.upf
Cu 63.55 Cu.upf
Ag 107.87 Ag.upf
ATOMIC_POSITIONS angstrom
Sc 0.000 0.000 0.000
Sc 1.675 1.675 4.095
Cu 0.000 0.000 2.693
Cu 0.000 0.000 5.518
Cu 1.675 1.675 1.401
Ag 1.675 1.675 6.952
CELL_PARAMETERS angstrom
3.350 0.000 0.000
0.000 3.350 0.000
0.000 0.000 8.553
```



3.
Compound: PuGa
Source: OQMD via LeMat-Bulk
Functional: PBE
Structure: relaxed Values from VASP.

ρ: 9.5 Mg/m³
Energy: -8.47 eV per atom
Symmetry: No. 225

Geometry as Quantum ESPRESSO input:
```
&SYSTEM
  ibrav = 0, nat = 2, ntyp = 2
/
ATOMIC_SPECIES
Pu 244.00 Pu.upf
Ga 69.72 Ga.upf
ATOMIC_POSITIONS angstrom
Pu 0.000 0.000 0.000
Ga 3.014 3.014 3.014
CELL_PARAMETERS angstrom
0.000 3.014 3.014
3.014 0.000 3.014
3.014 3.014 0.000
```



4.
Compound: GeB4Pd
Source: OQMD via LeMat-Bulk
Functional: PBE
Structure: relaxed Values from VASP.

ρ: 6.3 Mg/m³
Symmetry: No. 71
Excess energy over the best structure of this formula in the dataset: 48.2 meV per atom

Geometry as Quantum ESPRESSO input:
```
&SYSTEM
  ibrav = 0, nat = 6, ntyp = 3
/
ATOMIC_SPECIES
Ge 72.64 Ge.upf
B 10.81 B.upf
Pd 106.42 Pd.upf
ATOMIC_POSITIONS angstrom
Ge 0.000 0.000 0.000
B 1.516 -0.886 1.793
B 1.516 0.886 1.793
B 0.000 1.821 1.779
B 0.000 3.593 1.779
Pd 0.000 0.000 3.571
CELL_PARAMETERS angstrom
-1.516 2.707 3.571
1.516 -2.707 3.571
1.516 2.707 -3.571
```



5.
Compound: Er3Ni4Te
Source: OQMD via LeMat-Bulk
Functional: PBE
Structure: relaxed Values from VASP.

ρ: 9.6 Mg/m³
Energy: -5.34 eV per atom
Symmetry: No. 6

Geometry as Quantum ESPRESSO input:
```
&SYSTEM
  ibrav = 0, nat = 8, ntyp = 3
/
ATOMIC_SPECIES
Er 167.26 Er.upf
Ni 58.69 Ni.upf
Te 127.60 Te.upf
ATOMIC_POSITIONS angstrom
Er 0.000 0.000 0.000
Er 1.202 0.000 3.516
Er 3.893 2.032 2.513
Ni -0.131 2.032 5.004
Ni 1.230 2.032 1.508
Ni 2.629 0.000 0.982
Ni 3.820 0.000 4.498
Te 2.484 2.032 5.939
CELL_PARAMETERS angstrom
5.309 0.000 0.000
0.000 4.064 0.000
-0.193 0.000 6.925
```